--- one ---
Here is a relaxed structure of Nd2HgBr from Alexandria via LeMat-Bulk. Energies are from GGA-PBE.

Values from the calculation:
The size of the total moment is 0.00 μB/f.u.

Lattice parameters (Å, degrees): 3.5847 3.5847 8.5639 90.00 90.00 90.00
Fractional positions:
Nd: 0.0000 0.0000 0.7582
Nd: 0.0000 0.0000 0.2418
Hg: 0.5000 0.5000 0.0000
Br: 0.5000 0.5000 0.5000

--- two ---
Here is a relaxed structure of Nd2HgBr from Alexandria via LeMat-Bulk. Energies are from GGA-PBE.

Values from the calculation:
The size of the total moment is 0.00 μB/f.u.

Lattice parameters (Å, degrees): 3.8773 3.8773 9.3693 78.06 78.06 60.00
Fractional positions:
Nd: 0.0827 0.0827 0.7518
Nd: 0.2502 0.2502 0.2493
Hg: 0.5006 0.5006 0.4983
Br: 0.6665 0.6665 0.0005

Q: Which of them is the least stable? A: two.